Material: ZrTl2I6
Method: DFT, PBE-GGA
State: optimized geometry

Geometry as extended XYZ:
```
9
Lattice="7.9207 1.8562 1.0743 2.2961 7.8560 -0.2173 2.2961 3.7256 6.9198" Properties=species:S:1:pos:R:3 pbc="T T T"
Zr 0.0000 0.0000 0.0000
Tl 9.6740 10.1778 5.8901
Tl 2.8388 3.2599 1.8866
I 4.0217 5.7141 5.7193
I 6.1580 9.4986 5.4971
I 4.0217 7.8058 2.1050
I 8.4911 7.7236 2.0574
I 6.3548 3.9391 2.2797
I 8.4911 5.6319 5.6718
```

Calculated values
* raw formation energy: -77 kJ/mol of atoms
* magnetic moment: 0.0 μB per cell
* symmetry: C2/m, No. 12


Material: RbNpUO6
Method: DFT, PBE-GGA
State: optimized geometry

Geometry as extended XYZ:
```
18
Lattice="-2.9135 7.3118 -0.2669 -0.6685 0.0223 7.9097 6.9674 -1.5887 -3.3898" Properties=species:S:1:pos:R:3 pbc="T T T"
Rb 2.2906 5.2332 2.1704
Rb 1.0948 0.5123 2.0826
Np 2.0270 2.8616 -1.8283
Np 3.4837 -0.7944 -1.6949
U -1.7910 3.6671 3.8214
U -1.4567 3.6559 -0.1334
O 4.3200 1.8072 2.3515
O 1.9734 4.9604 -1.8388
O -0.6919 5.5659 -0.5412
O 0.0084 2.7867 4.4430
O 0.4210 2.7729 -0.4393
O -1.1045 5.5796 4.3411
O -0.9345 3.9383 1.9015
O 1.4121 0.7850 6.0918
O 4.0774 0.1796 4.7942
O 3.3771 2.9588 -0.1900
O 2.9645 2.9726 4.6923
O 4.4900 0.1658 -0.0880
```

Calculated values
* raw formation energy: -277 kJ/mol of atoms
* magnetic moment: 4.0 μB per cell
* symmetry: Imma, No. 74


Material: LiGePdRu2
Method: DFT, PBE-GGA
State: optimized geometry

Geometry as extended XYZ:
```
5
Lattice="4.9633 0.0000 0.0000 0.0000 4.9633 0.0000 0.0000 0.0000 4.5973" Properties=species:S:1:pos:R:3 pbc="T T T"
Ru 0.0000 2.4816 0.0000
Ru 2.4816 0.0000 0.0000
Ge 0.0000 0.0000 2.2987
Pd 0.0000 0.0000 0.0000
Li 2.4816 2.4816 2.2987
```

Calculated values
* magnetic moment: 4.7 μB per cell
* symmetry: P4/mmm, No. 123
* E_form: 1310 meV per atom